Density functional theory data (GGA-PBE) for crystalline RbSbRu2Se at its relaxed geometry.

a = 4.8602 Å, b = 4.8602 Å, c = 5.7694 Å
α = 90.00°, β = 90.00°, γ = 90.00°
Last column: nearest neighbours and their distance in Å.
Atoms (fractional coordinates):
Rb 0.0000 0.0000 0.0000  4 Ru 2.43
Sb 0.5000 0.5000 0.5000  4 Se 3.44, 8 Ru 3.77
Ru 0.0000 0.5000 0.0000  2 Rb 2.43
Ru 0.5000 0.0000 0.0000  2 Rb 2.43
Se 0.0000 0.0000 0.5000  2 Rb 2.88

Calculated values
- E_form (uncorrected): 2327.5 meV per atom